# 1
Here is a relaxed structure of Ta3Mn from Alexandria via LeMat-Bulk. Energies are from PBE.

Lattice parameters (Å, degrees): 2.898 4.400 5.271 90.00 101.33 90.00
Space group P2/m (No. 10)
Symmetry-distinct sites (fractional):
Ta (0.000, 0.000, 0.000)
Ta (0.271, 0.500, 0.741)
Mn (0.500, 0.000, 0.500)

## Properties
Formation energy   0.04 eV per atom
V   16.48 A^3/atom
Raw total energy   -11.1407 eV/atom



# 2
Here is a relaxed structure of TaMn4 from Alexandria via LeMat-Bulk. Energies are from PBE.

Lattice parameters (Å, degrees): 4.644 4.644 4.644 90.00 90.00 90.00
Space group Pm-3m (No. 221)
Symmetry-distinct sites (fractional):
Ta (0.000, 0.000, 0.000)
Mn (0.000, 0.000, 0.500)
Mn (0.500, 0.500, 0.500)

## Properties
Formation energy   1.47 eV per atom
V   20.03 A^3/atom
Raw total energy   -8.2403 eV/atom



# 3
Here is a relaxed structure of Ta3Mn from Alexandria via LeMat-Bulk. Energies are from PBE.

Lattice parameters (Å, degrees): 4.779 5.346 5.328 90.00 90.00 90.00
Space group Pmmn (No. 59, origin choice 2)
Symmetry-distinct sites (fractional):
Ta (0.250, 0.002, 0.136)
Ta (0.250, 0.750, 0.614)
Mn (0.250, 0.250, 0.656)

## Properties
Formation energy   0.20 eV per atom
V   17.02 A^3/atom
Raw total energy   -10.9774 eV/atom